Below is KW2O after structural relaxation, with properties calculated at the PBE+U level.

Cell and atoms, written as POSCAR:
```
KW2O
1.0
-1.9197 6.7412 -1.6889
-6.9344 -1.7426 0.9265
-4.1463 3.6460 3.8767
K O W
2 2 4
Cartesian
0.0000 0.0000 0.0000
-5.2466 6.4432 0.9034
-4.4271 2.4993 -0.3812
-7.7539 2.2013 2.2111
-2.6233 3.2216 0.4517
-6.0905 2.3503 0.9149
-8.1637 4.1733 2.8533
-9.1235 7.5439 2.0089
```

## Properties
The calculation puts the electronic total energy at -4.61 eV/atom. The volume comes out at 28.7 Å³/atom. The space group is No. 141.